VASP calculation (GGA-PBE) on an optimized crystal structure of LiTm3Pd3.

Cell: 6.7333 6.7333 6.6344 Å, 90.00 90.00 91.06°
Last column: nearest neighbours and their distance in Å.
Atoms (fractional coordinates):
Li 0.2280 0.7720 0.0000  6 Pd 2.71-2.87
Li 0.7720 0.2280 0.0000  6 Pd 2.71-2.87
Tm 0.2438 0.2438 0.5000  6 Pd 2.87-2.95
Tm 0.2512 0.7488 0.5000  6 Pd 2.91-2.96
Tm 0.2681 0.2681 0.0000  6 Pd 2.90-2.99
Tm 0.7319 0.7319 0.0000  6 Pd 2.90-2.99
Tm 0.7488 0.2512 0.5000  6 Pd 2.91-2.96
Tm 0.7562 0.7562 0.5000  6 Pd 2.87-2.95
Pd 0.0000 0.0000 0.2409  2 Li 2.71, 6 Tm 2.87-2.99
Pd 0.0000 0.0000 0.7591  2 Li 2.71, 6 Tm 2.87-2.99
Pd 0.0000 0.5000 0.2433  2 Li 2.87, 6 Tm 2.90-2.95
Pd 0.0000 0.5000 0.7567  2 Li 2.87, 6 Tm 2.90-2.95
Pd 0.5000 0.0000 0.2433  2 Li 2.87, 6 Tm 2.90-2.95
Pd 0.5000 0.0000 0.7567  2 Li 2.87, 6 Tm 2.90-2.95

## Properties
crystal system: orthorhombic
energy of formation: -659 meV/atom
total magnetic moment: 0.000 Bohr magnetons per cell
DOS(E_F): 0.3917 states/eV/atom
energy: -5.07 eV/atom
symmetry: Cmmm